1.
Density functional theory data (PBE) for a relaxed CsPu2NiS4 crystal.

uncorrected formation energy = -1.406 eV/atom
D(E_F) = 32.3 states/eV per cell
space-group type = Cmcm, No. 63

```
CsPu2NiS4
1.0
1.994 -7.091 0.000
1.994 7.091 0.000
0.000 0.000 13.624
Cs Pu Ni S
2 4 2 8
direct
0.100 0.900 0.750
0.900 0.100 0.250
0.365 0.635 0.558
0.365 0.635 0.942
0.635 0.365 0.058
0.635 0.365 0.442
0.172 0.828 0.250
0.828 0.172 0.750
0.000 0.000 0.000
0.000 0.000 0.500
0.255 0.745 0.108
0.255 0.745 0.392
0.408 0.592 0.750
0.592 0.408 0.250
0.745 0.255 0.608
0.745 0.255 0.892
```

=====

2.
Density functional theory data (PBE) for a relaxed LiZrIn crystal.

D(E_F) = 4.8 states/eV per cell
E above lowest polymorph = 0.325 eV per atom
space-group type = P4/nmm, No. 129

```
LiZrIn
1.0
4.092 0.000 0.000
0.000 4.092 0.000
0.000 0.000 7.306
Li Zr In
2 2 2
direct
0.250 0.250 0.244
0.750 0.750 0.756
0.250 0.250 0.632
0.750 0.750 0.368
0.250 0.750 0.000
0.750 0.250 0.000
```

=====

3.
Density functional theory data (PBE) for a relaxed SrCaNpN3 crystal.

uncorrected formation energy = -0.971 eV/atom
D(E_F) = 8.3 states/eV per cell
space-group type = P2_1/m, No. 11

```
SrCaNpN3
1.0
7.073 0.000 0.000
0.000 3.630 0.000
-1.340 0.000 8.961
Sr Ca Np N
2 2 2 6
direct
0.093 0.250 0.342
0.907 0.750 0.658
0.294 0.250 0.937
0.706 0.750 0.063
0.401 0.750 0.635
0.599 0.250 0.365
0.197 0.250 0.642
0.373 0.750 0.411
0.458 0.750 0.851
0.542 0.250 0.149
0.627 0.250 0.589
0.803 0.750 0.358
```

=====

4.
Density functional theory data (PBE) for a relaxed Tl2P crystal.

D(E_F) = 1.8 states/eV per cell
E above lowest polymorph = 0.144 eV per atom
space-group type = Fm-3m, No. 225

```
Tl2P
1.0
0.000 3.534 3.534
3.534 0.000 3.534
3.534 3.534 0.000
Tl P
2 1
direct
0.250 0.250 0.250
0.750 0.750 0.750
0.000 0.000 0.000
```

=====

5.
Density functional theory data (PBE) for a relaxed MnCdTe2 crystal.

uncorrected formation energy = 0.163 eV/atom
D(E_F) = 11.8 states/eV per cell
space-group type = I-42d, No. 122

```
MnCdTe2
1.0
-3.150 3.150 5.971
3.150 -3.150 5.971
3.150 3.150 -5.971
Mn Cd Te
2 2 4
direct
0.000 0.000 0.000
0.750 0.250 0.500
0.250 0.750 0.500
0.500 0.500 0.000
0.067 0.125 0.442
0.375 0.933 0.058
0.683 0.625 0.558
0.875 0.317 0.942
```

=====

6.
Density functional theory data (PBE) for a relaxed GaCoMo crystal.

electronic total energy = -7.054 eV/atom
D(E_F) = 2.9 states/eV per cell
space-group type = P-6m2, No. 187

```
GaCoMo
1.0
4.148 0.000 0.000
-2.074 3.593 0.000
0.000 0.000 2.713
Ga Co Mo
1 1 1
direct
0.000 0.000 0.000
0.333 0.667 0.000
0.667 0.333 0.500
```

=====

D(E_F) of number 5 (MnCdTe2)? 11.8 states/eV per cell